P:
Material: YHfH3
Method: DFT, PBE-GGA
State: relaxed

It has space group Pm-3m (No. 221), with a = 3.883 Å, b = 3.883 Å, c = 3.883 Å, α = 90.00°, β = 90.00° and γ = 90.00°. Symmetry generates all atoms from Y at (0.000, 0.000, 0.000), Hf at (0.500, 0.500, 0.500) and H at (0.000, 0.500, 0.500).

As for the crystal system: cubic.

=====

Q:
Material: YHfH3
Method: DFT, PBE-GGA
State: relaxed

It has space group Pm-3m (No. 221), with a = 3.943 Å, b = 3.943 Å, c = 3.943 Å, α = 90.00°, β = 90.00° and γ = 90.00°. Symmetry generates all atoms from Y at (0.000, 0.000, 0.000), Hf at (0.500, 0.500, 0.500) and H at (0.000, 0.000, 0.500).

As for the crystal system: cubic.

=====

Which structure loses on stability? Q does.

=====

P:
Material: Y2HfH
Method: DFT, PBE-GGA
State: relaxed

It has space group P4/mmm (No. 123), with a = 3.253 Å, b = 3.253 Å, c = 8.076 Å, α = 90.00°, β = 90.00° and γ = 90.00°. Symmetry generates all atoms from Y at (0.000, 0.000, 0.208), Hf at (0.500, 0.500, 0.500) and H at (0.500, 0.500, 0.000).

As for the crystal system: tetragonal.

=====

Q:
Material: Y2HfH
Method: DFT, PBE-GGA
State: relaxed

It has space group Fm-3m (No. 225), with a = 7.251 Å, b = 7.251 Å, c = 7.251 Å, α = 90.00°, β = 90.00° and γ = 90.00°. Symmetry generates all atoms from Y at (0.250, 0.250, 0.250), Hf at (0.000, 0.000, 0.000) and H at (0.000, 0.000, 0.500).

As for the crystal system: cubic.

=====

R:
Material: Y2HfH
Method: DFT, PBE-GGA
State: relaxed

It has space group R-3m (No. 166, hexagonal axes), with a = 3.3278 Å, b = 3.3278 Å, c = 27.3194 Å, α = 90.00°, β = 90.00° and γ = 120.00°. Symmetry generates all atoms from Y at (0.0000, 0.0000, 0.1158), Hf at (0.0000, 0.0000, 0.0000) and H at (0.0000, 0.0000, 0.5000).

As for the crystal system: trigonal.

=====

S:
Material: Y2HfH
Method: DFT, PBE-GGA
State: relaxed

It has space group I-42d (No. 122), with a = 6.976 Å, b = 6.976 Å, c = 7.281 Å, α = 90.00°, β = 90.00° and γ = 90.00°. Symmetry generates all atoms from Y at (0.131, 0.750, 0.125), Hf at (0.000, 0.000, 0.500) and H at (0.000, 0.000, 0.000).

As for the crystal system: tetragonal.

=====

Which structure loses on stability? Q does.

=====

P:
Material: YHf2ZrH
Method: DFT, PBE-GGA
State: relaxed

It has space group P4/mmm (No. 123), with a = 4.618 Å, b = 4.618 Å, c = 4.618 Å, α = 90.00°, β = 90.00° and γ = 90.00°. Symmetry generates all atoms from Y at (0.000, 0.000, 0.000), Hf at (0.000, 0.500, 0.500), Zr at (0.500, 0.500, 0.000) and H at (0.500, 0.500, 0.500).

As for the crystal system: tetragonal.

=====

Q:
Material: YHf2ZrH
Method: DFT, PBE-GGA
State: relaxed

It has space group P4/mmm (No. 123), with a = 4.561 Å, b = 4.561 Å, c = 4.746 Å, α = 90.00°, β = 90.00° and γ = 90.00°. Symmetry generates all atoms from Y at (0.000, 0.000, 0.000), Hf at (0.000, 0.500, 0.500), Zr at (0.500, 0.500, 0.000) and H at (0.000, 0.000, 0.500).

As for the crystal system: tetragonal.

=====

Which structure loses on stability? P does.

=====

P:
Material: Hf3ZnH3
Method: DFT, PBE-GGA
State: relaxed

It has space group R-3 (No. 148, hexagonal axes), with a = 5.7138 Å, b = 5.7138 Å, c = 19.8671 Å, α = 90.00°, β = 90.00° and γ = 120.00°. Symmetry generates all atoms from Hf at (0.0025, 0.6810, 0.4049), Zn at (0.0000, 0.0000, 0.1661) and H at (0.0014, 0.6585, 0.6354).

As for the crystal system: trigonal.

=====

Q:
Material: Hf3ZnH3
Method: DFT, PBE-GGA
State: relaxed

It has space group Pm-3n (No. 223), with a = 5.647 Å, b = 5.647 Å, c = 5.647 Å, α = 90.00°, β = 90.00° and γ = 90.00°. Symmetry generates all atoms from Hf at (0.000, 0.250, 0.500), Zn at (0.000, 0.000, 0.000) and H at (0.000, 0.500, 0.250).

As for the crystal system: cubic.

=====

Which structure loses on stability? P does.